DFT (PBE) results for a relaxed structure of Ho3Al4Si2.

a = 10.7863 Å, b = 4.2270 Å, c = 8.3497 Å
α = 90.00°, β = 104.80°, γ = 90.00°
Closest atoms and distances in Å follow each position.
Space group C2/m (No. 12)
One atom of each set of equivalent atoms:
Ho: 0.0000 0.0000 0.0000 x2  8 Al 3.08-3.18, 4 Si 3.14
Ho: 0.1697 0.5000 0.6607 x4  4 Si 3.09-3.19, 8 Al 3.10-3.27
Al: 0.0479 0.0000 0.3797 x4  2 Si 2.44, 1 Al 2.48
Al: 0.2283 0.5000 0.0654 x4  1 Si 2.43, 2 Al 2.48
Si: 0.1108 0.5000 0.2785 x4  3 Al 2.43-2.44

Calculated values
E = -0.1807 hartree per atom
Fermi-level density of states = 0.417 states/eV/atom